[1]
Tl3CoPt | PBE-GGA | optimized geometry

abc: 4.9570 4.9570 4.9570
angles: 90.00 90.00 90.00
Sites, in units of the cell vectors:
Pt (0.5000, 0.5000, 0.5000)
Tl (0.0000, 0.5000, 0.0000)
Tl (0.5000, 0.0000, 0.0000)
Tl (0.0000, 0.0000, 0.5000)
Co (0.0000, 0.0000, 0.0000)

Calculated values
Formation enthalpy at 0 K in eV/atom: 0.54
Calculated total energy in Ha/atom: -0.1291
Spin magnetization in μB per atom: 0.00
DOS(E_F) in states/eV/atom: 0.5864
Energy relative to the lowest polymorph listed for this composition in meV per atom: 0.0



[2]
TbYSc | PBE-GGA | optimized geometry

abc: 3.4230 5.4538 5.4538
angles: 120.00 90.00 90.00
Sites, in units of the cell vectors:
Y (0.6666, 0.6667, 0.3333)
Sc (0.1668, 0.3333, 0.6667)
Tb (0.1666, 0.0000, 0.0000)

Calculated values
Formation enthalpy at 0 K in eV/atom: 0.08
Calculated total energy in Ha/atom: -0.2107
Spin magnetization in μB per atom: 0.00
DOS(E_F) in states/eV/atom: 2.0627
Energy relative to the lowest polymorph listed for this composition in meV per atom: 27.6



[3]
SrGa2Pd | PBE-GGA | optimized geometry

abc: 4.3663 4.3663 6.1253
angles: 69.12 69.12 60.00
Sites, in units of the cell vectors:
Pd (0.5000, 0.5000, 0.5000)
Ga (0.2047, 0.2047, 0.3858)
Ga (0.7953, 0.7953, 0.6142)
Sr (0.0000, 0.0000, 0.0000)

Calculated values
Formation enthalpy at 0 K in eV/atom: -0.58
Calculated total energy in Ha/atom: -0.1400
Spin magnetization in μB per atom: 0.00
DOS(E_F) in states/eV/atom: 0.9101



[4]
Ti6O11 | PBE-GGA | optimized geometry

abc: 5.3269 5.3269 21.1330
angles: 87.48 87.48 41.36
Last column: magnetic moment on the atom in μB.
Sites, in units of the cell vectors:
O (0.0481, 0.0481, 0.8522)  -0.01
O (0.9519, 0.9519, 0.1478)  -0.01
O (0.1309, 0.1309, 0.9717)  0.00
O (0.0489, 0.0489, 0.4438)  0.00
O (0.9424, 0.9424, 0.2680)  -0.02
O (0.7684, 0.7684, 0.8779)  0.00
O (0.6591, 0.6591, 0.2076)  -0.01
O (0.2086, 0.2086, 0.2904)  -0.01
O (0.8400, 0.8400, 0.3797)  0.00
O (0.9511, 0.9511, 0.5562)  0.00
O (0.7914, 0.7914, 0.7096)  -0.01
O (0.0576, 0.0576, 0.7320)  -0.02
O (0.4059, 0.4059, 0.9303)  0.00
O (0.5754, 0.5754, 0.3459)  0.00
O (0.3222, 0.3222, 0.4800)  0.00
O (0.4246, 0.4246, 0.6541)  0.00
O (0.1600, 0.1600, 0.6203)  0.00
O (0.2316, 0.2316, 0.1221)  0.00
O (0.3409, 0.3409, 0.7924)  -0.01
O (0.6778, 0.6778, 0.5200)  0.00
O (0.5941, 0.5941, 0.0697)  0.00
O (0.8691, 0.8691, 0.0283)  0.00
Ti (0.9715, 0.9715, 0.6464)  0.07
Ti (0.9466, 0.9466, 0.9393)  -0.04
Ti (0.8612, 0.8612, 0.4750)  0.04
Ti (0.9086, 0.9086, 0.7957)  0.30
Ti (0.1388, 0.1388, 0.5250)  0.04
Ti (0.7594, 0.7594, 0.2981)  0.19
Ti (0.2406, 0.2406, 0.7019)  0.19
Ti (0.0914, 0.0914, 0.2043)  0.30
Ti (0.7814, 0.7814, 0.1085)  0.06
Ti (0.0285, 0.0285, 0.3536)  0.07
Ti (0.2186, 0.2186, 0.8915)  0.06
Ti (0.0534, 0.0534, 0.0607)  -0.04

Calculated values
Energy relative to the elements, uncorrected in meV per atom: -2989.7
Calculated total energy in Ha/atom: -0.3302
Spin magnetization in μB per atom: 0.04
DOS(E_F) in states/eV/atom: 0.3065
Energy relative to the lowest polymorph listed for this composition in meV per atom: 0.0